This record from the Alexandria database describes a relaxed CaCdGa2Co crystal. The functional is PBE.

Values from the calculation:
**Calculated total energy**: -3.44 eV per atom
**Fermi-level density of states**: 3.679 states/eV/cell
**Calculated volume**: 105.0 Å³/cell

Cell lengths 4.588, 4.588, 4.986 Å; angles 90.00, 90.00, 90.00 degrees
Space group P4/mmm (No. 123)
Unique sites:
1 Ca 0.000 0.000 0.000 x1
2 Cd 0.500 0.500 0.000 x1
3 Ga 0.000 0.500 0.500 x2
4 Co 0.500 0.500 0.500 x1



This record from the Alexandria database describes a relaxed CaCdCoGe crystal. The functional is PBE.

Values from the calculation:
**Calculated total energy**: -3.99 eV per atom
**Fermi-level density of states**: 4.387 states/eV/cell
**Calculated volume**: 172.9 Å³/cell

Cell lengths 4.002, 4.002, 10.797 Å; angles 90.00, 90.00, 90.00 degrees
Space group P4/nmm (No. 129, origin choice 2)
Unique sites:
1 Ca 0.250 0.250 0.225 x2
2 Cd 0.250 0.750 0.500 x2
3 Co 0.250 0.750 0.000 x2
4 Ge 0.250 0.250 0.884 x2



This record from the Alexandria database describes a relaxed Ca2CdCoH6 crystal. The functional is PBE.

Values from the calculation:
**Calculated total energy**: -3.57 eV per atom
**Fermi-level density of states**: 1.780 states/eV/cell
**Calculated volume**: 129.8 Å³/cell

Cell lengths 4.5879, 4.5879, 7.1181 Å; angles 90.00, 90.00, 120.00 degrees
Space group P-3m1 (No. 164)
Unique sites:
1 Ca 0.3333 0.6667 0.3142 x2
2 Cd 0.0000 0.0000 0.0000 x1
3 Co 0.0000 0.0000 0.5000 x1
4 H 0.1610 0.3219 0.6227 x6



This record from the Alexandria database describes a relaxed CaCdIn2Co crystal. The functional is PBE.

Values from the calculation:
**Calculated total energy**: -3.20 eV per atom
**Fermi-level density of states**: 3.673 states/eV/cell
**Calculated volume**: 122.9 Å³/cell

Cell lengths 4.930, 4.930, 5.057 Å; angles 90.00, 90.00, 90.00 degrees
Space group P4/mmm (No. 123)
Unique sites:
1 Ca 0.000 0.000 0.000 x1
2 Cd 0.500 0.500 0.000 x1
3 In 0.000 0.500 0.500 x2
4 Co 0.500 0.500 0.500 x1



This record from the Alexandria database describes a relaxed Ca2LaCdCo crystal. The functional is PBE.

Values from the calculation:
**Calculated total energy**: -3.44 eV per atom
**Fermi-level density of states**: 4.537 states/eV/cell
**Calculated volume**: 154.4 Å³/cell

Cell lengths 5.514, 5.514, 5.079 Å; angles 90.00, 90.00, 90.00 degrees
Space group P4/mmm (No. 123)
Unique sites:
1 Ca 0.000 0.500 0.000 x2
2 La 0.000 0.000 0.500 x1
3 Cd 0.500 0.500 0.500 x1
4 Co 0.000 0.000 0.000 x1



This record from the Alexandria database describes a relaxed CaLaCd2Co crystal. The functional is PBE.

Values from the calculation:
**Calculated total energy**: -3.32 eV per atom
**Fermi-level density of states**: 3.488 states/eV/cell
**Calculated volume**: 133.8 Å³/cell

Cell lengths 5.266, 5.266, 4.825 Å; angles 90.00, 90.00, 90.00 degrees
Space group P4/mmm (No. 123)
Unique sites:
1 Ca 0.000 0.000 0.000 x1
2 La 0.500 0.500 0.000 x1
3 Cd 0.000 0.500 0.500 x2
4 Co 0.500 0.500 0.500 x1



This record from the Alexandria database describes a relaxed LiCaCd2Co crystal. The functional is PBE.

Values from the calculation:
**Calculated total energy**: -1.63 eV per atom
**Fermi-level density of states**: 4.993 states/eV/cell
**Calculated volume**: 156.4 Å³/cell

Cell lengths 5.792, 5.792, 4.661 Å; angles 90.00, 90.00, 90.00 degrees
Space group P4/mmm (No. 123)
Unique sites:
1 Li 0.000 0.000 0.000 x1
2 Ca 0.500 0.500 0.500 x1
3 Cd 0.000 0.500 0.500 x2
4 Co 0.500 0.500 0.000 x1



This record from the Alexandria database describes a relaxed Ca2CdCoN crystal. The functional is PBE.

Values from the calculation:
**Calculated total energy**: -3.19 eV per atom
**Offset from the most stable computed form**: 1.348 eV/atom
**Fermi-level density of states**: 3.042 states/eV/cell
**Calculated volume**: 126.6 Å³/cell
**ΔE_f (raw)**: 4.40 eV per formula unit

Cell lengths 5.129, 5.129, 4.810 Å; angles 90.00, 90.00, 90.00 degrees
Space group P4/mmm (No. 123)
Unique sites:
1 Ca 0.000 0.500 0.000 x2
2 Cd 0.000 0.000 0.500 x1
3 Co 0.000 0.000 0.000 x1
4 N 0.500 0.500 0.500 x1



This record from the Alexandria database describes a relaxed Ca2CdCoN crystal. The functional is PBE.

Values from the calculation:
**Calculated total energy**: -4.54 eV per atom
**Offset from the most stable computed form**: 0.000 eV/atom
**Fermi-level density of states**: 1.832 states/eV/cell
**Calculated volume**: 95.2 Å³/cell
**ΔE_f (raw)**: -2.34 eV per formula unit

Cell lengths 5.153, 5.153, 3.585 Å; angles 90.00, 90.00, 90.00 degrees
Space group P4/mmm (No. 123)
Unique sites:
1 Ca 0.000 0.500 0.000 x2
2 Cd 0.000 0.000 0.500 x1
3 Co 0.500 0.500 0.500 x1
4 N 0.500 0.500 0.000 x1